1.
{"formula": "PmThS3", "functional": "PBE", "state": "optimized geometry", "e_tot_ev_per_atom": -6.689, "e_above_lowest_polymorph_ev_per_fu": 1.178, "vol_a3_per_atom": 28.83, "crystal_system": "monoclinic", "magmom_total_mub_per_cell": 0.000, "e_form_raw_ev_per_atom": -1.78, "n_ef_per_ev_cell": 4.4, "lattice": [[-0.490, -3.259, 3.368], [7.236, -1.054, -3.263], [2.162, 5.424, 5.564]], "species": ["Pm", "Pm", "Th", "Th", "S", "S", "S", "S", "S", "S"], "frac_coords": [[0.364, 0.728, 0.625], [0.636, 0.272, 0.375], [0.124, 0.249, 0.893], [0.876, 0.751, 0.107], [0.947, 0.894, 0.792], [0.053, 0.106, 0.208], [0.681, 0.362, 0.044], [0.319, 0.638, 0.956], [0.822, 0.644, 0.419], [0.178, 0.356, 0.581]]}



2.
{"formula": "Li2NpSnSe4", "functional": "PBE", "state": "optimized geometry", "e_tot_ev_per_atom": -5.306, "vol_a3_per_atom": 24.04, "crystal_system": "monoclinic", "magmom_total_mub_per_cell": 3.062, "e_form_raw_ev_per_atom": -0.97, "n_ef_per_ev_cell": 9.0, "lattice": [[4.107, 0.000, 0.000], [0.000, 6.832, 0.015], [0.000, 2.572, 6.859]], "species": ["Li", "Li", "Np", "Sn", "Se", "Se", "Se", "Se"], "frac_coords": [[0.000, 0.000, 0.000], [0.500, 0.000, 0.500], [0.000, 0.500, 0.500], [0.500, 0.500, 0.000], [0.000, 0.755, 0.729], [0.000, 0.245, 0.271], [0.500, 0.754, 0.255], [0.500, 0.246, 0.745]]}